No. 1
Density functional theory data (PBE) for an optimized crystal structure of Sm2PtO.

Cell and atoms, written as POSCAR:
```
Sm2PtO
1.0
1.880 1.085 6.702
-1.880 1.085 6.702
0.000 -2.171 6.702
Sm Pt O
2 1 1
Direct
0.238 0.238 0.238 Sm
0.762 0.762 0.762 Sm
0.000 0.000 0.000 Pt
0.500 0.500 0.500 O
```

Results
- Space-group type: R-3m (166)
- Magnetization: 0.000 μB per formula unit
- Relative energy among the computed polymorphs: 85 meV per atom
- Energy: -6.879 eV per atom
- Theoretical density: 10.4 g/cm³
- Formation energy from raw total energies: -1.770 eV/atom

***

No. 2
Density functional theory data (PBE) for an optimized crystal structure of Sm2Pt2O7.

Cell and atoms, written as POSCAR:
```
Sm2Pt2O7
1.0
0.000 5.216 5.216
5.216 0.000 5.216
5.216 5.216 0.000
Sm Pt O
4 4 14
Direct
0.000 0.000 0.000 Sm
0.000 0.000 0.500 Sm
0.000 0.500 0.000 Sm
0.500 0.000 0.000 Sm
0.000 0.500 0.500 Pt
0.500 0.000 0.500 Pt
0.500 0.500 0.000 Pt
0.500 0.500 0.500 Pt
0.125 0.125 0.125 O
0.162 0.162 0.588 O
0.162 0.588 0.162 O
0.162 0.588 0.588 O
0.412 0.412 0.838 O
0.412 0.838 0.412 O
0.412 0.838 0.838 O
0.588 0.162 0.162 O
0.588 0.162 0.588 O
0.588 0.588 0.162 O
0.838 0.412 0.412 O
0.838 0.412 0.838 O
0.838 0.838 0.412 O
0.875 0.875 0.875 O
```

Results
- Space-group type: Fd-3m (227)
- Magnetization: 0.000 μB per formula unit
- Energy: -7.060 eV per atom
- Theoretical density: 9.4 g/cm³
- Formation energy from raw total energies: -1.948 eV/atom

***

No. 3
Density functional theory data (PBE) for an optimized crystal structure of Sm3PtO.

Cell and atoms, written as POSCAR:
```
Sm3PtO
1.0
7.544 0.000 0.000
0.000 3.789 0.000
-2.365 0.000 7.967
Sm Pt O
6 2 2
Direct
0.082 0.000 0.333 Sm
0.294 0.000 0.031 Sm
0.344 0.500 0.686 Sm
0.656 0.500 0.314 Sm
0.706 0.000 0.969 Sm
0.918 0.000 0.667 Sm
0.000 0.500 0.000 Pt
0.500 0.000 0.500 Pt
0.000 0.500 0.500 O
0.500 0.500 0.000 O
```

Results
- Space-group type: P2/m (10)
- Magnetization: 0.000 μB per formula unit
- Relative energy among the computed polymorphs: 0 meV per atom
- Energy: -6.541 eV per atom
- Theoretical density: 9.7 g/cm³
- Formation energy from raw total energies: -1.509 eV/atom

***

No. 4
Density functional theory data (PBE) for an optimized crystal structure of Sm3PtO6.

Cell and atoms, written as POSCAR:
```
Sm3PtO6
1.0
5.647 0.000 0.000
0.000 5.843 0.000
-4.900 0.000 8.983
Sm Pt O
6 2 12
Direct
0.000 0.000 0.000 Sm
0.000 0.500 0.500 Sm
0.295 0.057 0.758 Sm
0.295 0.443 0.258 Sm
0.705 0.557 0.742 Sm
0.705 0.943 0.242 Sm
0.500 0.000 0.500 Pt
0.500 0.500 0.000 Pt
0.082 0.087 0.240 O
0.082 0.413 0.740 O
0.314 0.703 0.090 O
0.314 0.797 0.590 O
0.383 0.218 0.076 O
0.383 0.282 0.576 O
0.617 0.718 0.424 O
0.617 0.782 0.924 O
0.686 0.203 0.410 O
0.686 0.297 0.910 O
0.918 0.587 0.260 O
0.918 0.913 0.760 O
```

Results
- Space-group type: P2_1/c (14)
- Magnetization: 0.962 μB per formula unit
- Relative energy among the computed polymorphs: 46 meV per atom
- Energy: -7.546 eV per atom
- Theoretical density: 8.3 g/cm³
- Formation energy from raw total energies: -2.552 eV/atom

***

Please write out number 1 again, unchanged.
Density functional theory data (PBE) for an optimized crystal structure of Sm2PtO.

Cell and atoms, written as POSCAR:
```
Sm2PtO
1.0
1.880 1.085 6.702
-1.880 1.085 6.702
0.000 -2.171 6.702
Sm Pt O
2 1 1
Direct
0.238 0.238 0.238 Sm
0.762 0.762 0.762 Sm
0.000 0.000 0.000 Pt
0.500 0.500 0.500 O
```

Results
- Space-group type: R-3m (166)
- Magnetization: 0.000 μB per formula unit
- Relative energy among the computed polymorphs: 85 meV per atom
- Energy: -6.879 eV per atom
- Theoretical density: 10.4 g/cm³
- Formation energy from raw total energies: -1.770 eV/atom

***

> magnetization of number 2 (Sm2Pt2O7)?

0.000 μB per formula unit

***

> energy of number 1 (Sm2PtO)?

-6.879 eV per atom